## SrMg2InC (PBE-GGA)

Data for an optimized crystal structure of SrMg2InC.

Cell lengths 4.605, 4.605, 5.390 Å; angles 90.00, 90.00, 90.00 degrees
Space group P4/mmm (No. 123)
Unique sites:
1 Sr 0.000 0.000 0.000 (multiplicity 1)
2 Mg 0.000 0.500 0.500 (multiplicity 2)
3 In 0.500 0.500 0.000 (multiplicity 1)
4 C 0.000 0.000 0.500 (multiplicity 1)

Output
uncorrected energy	-15.76	eV/cell
energy of formation from the pure elements	0.214	eV per atom
spin magnetization	0.00	Bohr magnetons per cell